## w
A plane-wave DFT calculation with GGA-PBE was carried out for TbNd2Hg4 after structural relaxation.

Cell lengths 8.8073, 8.8073, 8.8073 Å; angles 142.54, 142.54, 54.01 degrees
With the nearest neighbours (Å) after each atom.
Positions (direct):
Tb 0.0000 0.0000 0.0000  6 Hg 2.83-3.03
Nd 0.3940 0.3940 0.0000  5 Hg 3.15-3.28, 1 Nd 3.33
Nd 0.6060 0.6060 0.0000  5 Hg 3.15-3.28, 1 Nd 3.33
Hg 0.0000 0.5000 0.5000  2 Tb 2.83
Hg 0.1933 0.1933 0.0000  1 Tb 3.03, 1 Nd 3.15
Hg 0.5000 0.0000 0.5000  2 Tb 2.83
Hg 0.8067 0.8067 0.0000  1 Tb 3.03, 1 Nd 3.15

- DOS at the Fermi energy (states/eV per atom) = 1.013


## x
A plane-wave DFT calculation with GGA-PBE was carried out for TbNd2Hg4 after structural relaxation.

Cell lengths 9.4447, 9.4447, 9.4447 Å; angles 31.84, 31.84, 31.84 degrees
With the nearest neighbours (Å) after each atom.
Positions (direct):
Tb 0.0000 0.0000 0.0000  8 Hg 3.16-3.39
Nd 0.2439 0.2439 0.2439  8 Hg 3.15-3.42
Nd 0.7561 0.7561 0.7561  8 Hg 3.15-3.42
Hg 0.1263 0.1263 0.1263  4 Nd 3.15-3.16, 1 Tb 3.39
Hg 0.3711 0.3711 0.3711  3 Tb 3.16, 4 Nd 3.30-3.42
Hg 0.6289 0.6289 0.6289  3 Tb 3.16, 4 Nd 3.30-3.42
Hg 0.8737 0.8737 0.8737  4 Nd 3.15-3.16, 1 Tb 3.39

- DOS at the Fermi energy (states/eV per atom) = 0.798


Energy comparison, zero being the most stable, in meV per atom: w 312; x 0.


## w
A plane-wave DFT calculation with GGA-PBE was carried out for Nd3HgTe after structural relaxation.

Cell lengths 9.7615, 9.7615, 9.1593 Å; angles 102.46, 102.46, 22.71 degrees
With the nearest neighbours (Å) after each atom.
Positions (direct):
Nd 0.0050 0.0050 0.1892  2 Hg 3.15-3.28, 4 Te 3.34-3.39, 1 Nd 3.43
Nd 0.2016 0.2016 0.8362  1 Hg 3.14, 3 Te 3.32-3.44
Nd 0.3275 0.3275 0.5878  2 Hg 3.09, 1 Te 3.39
Nd 0.6725 0.6725 0.4122  2 Hg 3.09, 1 Te 3.39
Nd 0.7984 0.7984 0.1638  1 Hg 3.14, 3 Te 3.32-3.44
Nd 0.9950 0.9950 0.8108  2 Hg 3.15-3.28, 4 Te 3.34-3.39, 1 Nd 3.43
Hg 0.0773 0.0773 0.5483  1 Hg 2.89, 4 Nd 3.09-3.15
Hg 0.9227 0.9227 0.4517  1 Hg 2.89, 4 Nd 3.09-3.15
Te 0.3846 0.3846 0.9654  8 Nd 3.32-3.44
Te 0.6154 0.6154 0.0346  8 Nd 3.32-3.44

- DOS at the Fermi energy (states/eV per atom) = 1.228


## x
A plane-wave DFT calculation with GGA-PBE was carried out for Nd3HgTe after structural relaxation.

Cell lengths 7.9225, 4.6630, 17.4367 Å; angles 90.00, 90.00, 90.00 degrees
With the nearest neighbours (Å) after each atom.
Positions (direct):
Nd 0.0104 0.2500 0.1115  3 Te 3.15-3.23, 1 Hg 3.42
Nd 0.1291 0.7500 0.4336  3 Te 3.19-3.22, 2 Hg 3.26
Nd 0.1818 0.2500 0.7319  4 Hg 3.17-3.27, 1 Te 3.43
Nd 0.3182 0.7500 0.2319  4 Hg 3.17-3.27, 1 Te 3.43
Nd 0.3709 0.2500 0.9336  3 Te 3.19-3.22, 2 Hg 3.26
Nd 0.4896 0.7500 0.6115  3 Te 3.15-3.23, 1 Hg 3.42
Nd 0.5104 0.2500 0.3885  3 Te 3.15-3.23, 1 Hg 3.42
Nd 0.6291 0.7500 0.0664  3 Te 3.19-3.22, 2 Hg 3.26
Nd 0.6818 0.2500 0.7681  4 Hg 3.17-3.27, 1 Te 3.43
Nd 0.8182 0.7500 0.2681  4 Hg 3.17-3.27, 1 Te 3.43
Nd 0.8709 0.2500 0.5664  3 Te 3.19-3.22, 2 Hg 3.26
Nd 0.9896 0.7500 0.8885  3 Te 3.15-3.23, 1 Hg 3.42
Hg 0.0977 0.2500 0.3036  7 Nd 3.17-3.42
Hg 0.4023 0.7500 0.8036  7 Nd 3.17-3.42
Hg 0.5977 0.2500 0.1964  7 Nd 3.17-3.42
Hg 0.9023 0.7500 0.6964  7 Nd 3.17-3.42
Te 0.2266 0.7500 0.0394  7 Nd 3.15-3.43
Te 0.2734 0.2500 0.5394  7 Nd 3.15-3.43
Te 0.7266 0.7500 0.4606  7 Nd 3.15-3.43
Te 0.7734 0.2500 0.9606  7 Nd 3.15-3.43

- DOS at the Fermi energy (states/eV per atom) = 1.168


Energy comparison, zero being the most stable, in meV per atom: w 231; x 0.


## w
A plane-wave DFT calculation with GGA-PBE was carried out for Nd3HgTe2 after structural relaxation.

Cell lengths 7.8928, 7.8928, 7.8928 Å; angles 147.86, 132.52, 58.49 degrees
With the nearest neighbours (Å) after each atom.
Positions (direct):
Nd 0.0000 0.0000 0.0000  4 Te 3.18, 2 Hg 3.18
Nd 0.3340 0.3340 0.0000  2 Hg 3.16, 4 Te 3.17-3.18
Nd 0.6660 0.6660 0.0000  2 Hg 3.16, 4 Te 3.17-3.18
Hg 0.5000 0.0000 0.5000  6 Nd 3.16-3.18
Te 0.1674 0.6674 0.5000  6 Nd 3.17-3.18
Te 0.8326 0.3326 0.5000  6 Nd 3.17-3.18

- DOS at the Fermi energy (states/eV per atom) = 0.607


## x
A plane-wave DFT calculation with GGA-PBE was carried out for Nd3HgTe2 after structural relaxation.

Cell lengths 6.3585, 13.3812, 9.0159 Å; angles 90.00, 90.29, 90.00 degrees
With the nearest neighbours (Å) after each atom.
Positions (direct):
Nd 0.2461 0.0807 0.1220  3 Hg 3.16-3.18, 3 Te 3.18-3.21
Nd 0.2461 0.4193 0.6220  3 Hg 3.16-3.18, 3 Te 3.18-3.21
Nd 0.2504 0.0842 0.6281  5 Te 3.16-3.18, 1 Hg 3.19
Nd 0.2504 0.4158 0.1281  5 Te 3.16-3.18, 1 Hg 3.19
Nd 0.2528 0.7502 0.1265  2 Hg 3.13-3.15, 4 Te 3.17-3.18
Nd 0.2528 0.7498 0.6265  2 Hg 3.13-3.15, 4 Te 3.17-3.18
Nd 0.7472 0.2502 0.3735  2 Hg 3.13-3.15, 4 Te 3.17-3.18
Nd 0.7472 0.2498 0.8735  2 Hg 3.13-3.15, 4 Te 3.17-3.18
Nd 0.7496 0.5842 0.8719  5 Te 3.16-3.18, 1 Hg 3.19
Nd 0.7496 0.9158 0.3719  5 Te 3.16-3.18, 1 Hg 3.19
Nd 0.7539 0.5807 0.3780  3 Hg 3.16-3.18, 3 Te 3.18-3.21
Nd 0.7539 0.9193 0.8780  3 Hg 3.16-3.18, 3 Te 3.18-3.21
Hg 0.2542 0.5865 0.3748  6 Nd 3.13-3.19
Hg 0.2542 0.9135 0.8748  6 Nd 3.13-3.19
Hg 0.7458 0.0865 0.1252  6 Nd 3.13-3.19
Hg 0.7458 0.4135 0.6252  6 Nd 3.13-3.19
Te 0.2475 0.2471 0.3747  6 Nd 3.16-3.21
Te 0.2475 0.2529 0.8747  6 Nd 3.16-3.21
Te 0.2498 0.5833 0.8770  6 Nd 3.17-3.18
Te 0.2498 0.9167 0.3770  6 Nd 3.17-3.18
Te 0.7502 0.0833 0.6230  6 Nd 3.17-3.18
Te 0.7502 0.4167 0.1230  6 Nd 3.17-3.18
Te 0.7525 0.7471 0.1253  6 Nd 3.16-3.21
Te 0.7525 0.7529 0.6253  6 Nd 3.16-3.21

- DOS at the Fermi energy (states/eV per atom) = 0.845


Energy comparison, zero being the most stable, in meV per atom: w 0; x 15.


## w
A plane-wave DFT calculation with GGA-PBE was carried out for Nd2ThHg3 after structural relaxation.

Cell lengths 3.8167, 3.8167, 11.5918 Å; angles 90.00, 90.00, 90.00 degrees
With the nearest neighbours (Å) after each atom.
Positions (direct):
Nd 0.0000 0.0000 0.1665  8 Hg 3.31-3.32
Nd 0.0000 0.0000 0.8335  8 Hg 3.31-3.32
Th 0.0000 0.0000 0.5000  8 Hg 3.33
Hg 0.5000 0.5000 0.0000  8 Nd 3.32
Hg 0.5000 0.5000 0.3312  4 Nd 3.31, 4 Th 3.33
Hg 0.5000 0.5000 0.6688  4 Nd 3.31, 4 Th 3.33

- DOS at the Fermi energy (states/eV per atom) = 1.287


## x
A plane-wave DFT calculation with GGA-PBE was carried out for Nd2ThHg3 after structural relaxation.

Cell lengths 5.4226, 5.4226, 6.6322 Å; angles 90.00, 90.00, 120.00 degrees
With the nearest neighbours (Å) after each atom.
Positions (direct):
Nd 0.3333 0.6667 0.1691  8 Hg 3.30-3.33
Nd 0.6667 0.3333 0.8309  8 Hg 3.30-3.33
Th 0.0000 0.0000 0.5000  8 Hg 3.32
Hg 0.0000 0.0000 0.0000  2 Th 3.32, 6 Nd 3.33
Hg 0.3333 0.6667 0.6664  5 Nd 3.30-3.33, 3 Th 3.32
Hg 0.6667 0.3333 0.3336  5 Nd 3.30-3.33, 3 Th 3.32

- DOS at the Fermi energy (states/eV per atom) = 1.514


Energy comparison, zero being the most stable, in meV per atom: w 0; x 11.


## w
A plane-wave DFT calculation with GGA-PBE was carried out for Nd6Tl2Hg after structural relaxation.

Cell lengths 9.1905, 9.1905, 3.8608 Å; angles 90.00, 90.00, 120.00 degrees
With the nearest neighbours (Å) after each atom.
Positions (direct):
Nd 0.0000 0.2748 0.0000  2 Hg 3.18, 2 Tl 3.36
Nd 0.0000 0.6073 0.5000  4 Tl 3.43, 1 Hg 3.61, 6 Nd 3.61-3.74
Nd 0.2748 0.0000 0.0000  2 Hg 3.18, 2 Tl 3.36
Nd 0.3927 0.3927 0.5000  4 Tl 3.43, 1 Hg 3.61, 6 Nd 3.61-3.74
Nd 0.6073 0.0000 0.5000  4 Tl 3.43, 1 Hg 3.61, 6 Nd 3.61-3.74
Nd 0.7252 0.7252 0.0000  2 Hg 3.18, 2 Tl 3.36
Tl 0.3333 0.6667 0.0000  9 Nd 3.36-3.43
Tl 0.6667 0.3333 0.0000  9 Nd 3.36-3.43
Hg 0.0000 0.0000 0.5000  6 Nd 3.18

- DOS at the Fermi energy (states/eV per atom) = 1.362


## x
A plane-wave DFT calculation with GGA-PBE was carried out for Nd6Tl2Hg after structural relaxation.

Cell lengths 6.5190, 8.7706, 11.7370 Å; angles 90.00, 118.79, 90.00 degrees
With the nearest neighbours (Å) after each atom.
Positions (direct):
Nd 0.0775 0.0503 0.2213  1 Hg 3.13, 2 Tl 3.26-3.29
Nd 0.0775 0.4497 0.7213  1 Hg 3.13, 2 Tl 3.26-3.29
Nd 0.1625 0.7024 0.0622  1 Hg 3.17, 3 Tl 3.35-3.52
Nd 0.1625 0.7976 0.5622  1 Hg 3.17, 3 Tl 3.35-3.52
Nd 0.4177 0.1534 0.0517  1 Hg 3.20, 3 Tl 3.22-3.45, 1 Nd 3.33
Nd 0.4177 0.3466 0.5517  1 Hg 3.20, 3 Tl 3.22-3.45, 1 Nd 3.33
Nd 0.5823 0.6534 0.4483  1 Hg 3.20, 3 Tl 3.22-3.45, 1 Nd 3.33
Nd 0.5823 0.8466 0.9483  1 Hg 3.20, 3 Tl 3.22-3.45, 1 Nd 3.33
Nd 0.8375 0.2024 0.4378  1 Hg 3.17, 3 Tl 3.35-3.52
Nd 0.8375 0.2976 0.9378  1 Hg 3.17, 3 Tl 3.35-3.52
Nd 0.9225 0.5503 0.2787  1 Hg 3.13, 2 Tl 3.26-3.29
Nd 0.9225 0.9497 0.7787  1 Hg 3.13, 2 Tl 3.26-3.29
Tl 0.3284 0.1189 0.7386  8 Nd 3.22-3.52
Tl 0.3284 0.3811 0.2386  8 Nd 3.22-3.52
Tl 0.6716 0.6189 0.7614  8 Nd 3.22-3.52
Tl 0.6716 0.8811 0.2614  8 Nd 3.22-3.52
Hg 0.5000 0.0000 0.5000  6 Nd 3.13-3.20
Hg 0.5000 0.5000 0.0000  6 Nd 3.13-3.20

- DOS at the Fermi energy (states/eV per atom) = 1.243


Energy comparison, zero being the most stable, in meV per atom: w 0; x 88.


## w
A plane-wave DFT calculation with GGA-PBE was carried out for Nd4TlHg2 after structural relaxation.

Cell lengths 6.6086, 6.6086, 6.6086 Å; angles 109.29, 109.29, 109.82 degrees
With the nearest neighbours (Å) after each atom.
Positions (direct):
Nd 0.0000 0.0000 0.5000  4 Hg 3.30, 2 Tl 3.30
Nd 0.0000 0.5000 0.0000  4 Hg 3.30, 2 Tl 3.30
Nd 0.5000 0.0000 0.0000  4 Hg 3.30, 2 Tl 3.30
Nd 0.5000 0.5000 0.5000  4 Hg 3.30, 2 Tl 3.30
Tl 0.0000 0.0000 0.0000  8 Nd 3.30
Hg 0.0000 0.5000 0.5000  8 Nd 3.30
Hg 0.5000 0.0000 0.5000  8 Nd 3.30

- DOS at the Fermi energy (states/eV per atom) = 1.147


## x
A plane-wave DFT calculation with GGA-PBE was carried out for Nd4TlHg2 after structural relaxation.

Cell lengths 10.2852, 10.2852, 10.2852 Å; angles 29.52, 29.52, 29.52 degrees
With the nearest neighbours (Å) after each atom.
Positions (direct):
Nd 0.1222 0.1222 0.1222  3 Tl 3.30, 3 Hg 3.46
Nd 0.2940 0.2940 0.2940  4 Hg 3.08-3.12
Nd 0.7060 0.7060 0.7060  4 Hg 3.08-3.12
Nd 0.8778 0.8778 0.8778  3 Tl 3.30, 3 Hg 3.46
Tl 0.5000 0.5000 0.5000  2 Hg 3.00, 6 Nd 3.30
Hg 0.3984 0.3984 0.3984  1 Tl 3.00, 4 Nd 3.08-3.12
Hg 0.6016 0.6016 0.6016  1 Tl 3.00, 4 Nd 3.08-3.12

- DOS at the Fermi energy (states/eV per atom) = 1.445


Energy comparison, zero being the most stable, in meV per atom: w 0; x 143.


## w
A plane-wave DFT calculation with GGA-PBE was carried out for Nd3Tl3Hg2 after structural relaxation.

Cell lengths 5.2201, 5.2629, 8.2694 Å; angles 90.00, 90.00, 90.00 degrees
With the nearest neighbours (Å) after each atom.
Positions (direct):
Nd 0.0000 0.0000 0.0000  4 Hg 3.33, 4 Tl 3.33, 4 Nd 3.71
Nd 0.0000 0.0000 0.5000  8 Tl 3.33-3.71, 4 Hg 3.36
Nd 0.5000 0.5000 0.0000  4 Hg 3.31, 4 Tl 3.35, 4 Nd 3.71
Tl 0.5000 0.0000 0.2506  6 Nd 3.33-3.35, 2 Tl 3.34, 4 Hg 3.71
Tl 0.5000 0.0000 0.7494  6 Nd 3.33-3.35, 2 Tl 3.34, 4 Hg 3.71
Tl 0.5000 0.5000 0.5000  4 Tl 3.34, 4 Hg 3.35, 4 Nd 3.71
Hg 0.0000 0.5000 0.2465  6 Nd 3.31-3.36, 6 Tl 3.35-3.71
Hg 0.0000 0.5000 0.7535  6 Nd 3.31-3.36, 6 Tl 3.35-3.71

- DOS at the Fermi energy (states/eV per atom) = 0.652


## x
A plane-wave DFT calculation with GGA-PBE was carried out for Nd3Tl3Hg2 after structural relaxation.

Cell lengths 8.4096, 8.4096, 3.7735 Å; angles 90.00, 90.00, 120.00 degrees
With the nearest neighbours (Å) after each atom.
Positions (direct):
Nd 0.0000 0.3835 0.0000  4 Hg 3.23, 4 Tl 3.39
Nd 0.3835 0.0000 0.0000  4 Hg 3.23, 4 Tl 3.39
Nd 0.6165 0.6165 0.0000  4 Hg 3.23, 4 Tl 3.39
Tl 0.0000 0.7602 0.5000  2 Hg 3.27, 4 Nd 3.39, 2 Tl 3.49
Tl 0.2398 0.2398 0.5000  2 Hg 3.27, 4 Nd 3.39, 2 Tl 3.49
Tl 0.7602 0.0000 0.5000  2 Hg 3.27, 4 Nd 3.39, 2 Tl 3.49
Hg 0.3333 0.6667 0.5000  6 Nd 3.23, 3 Tl 3.27
Hg 0.6667 0.3333 0.5000  6 Nd 3.23, 3 Tl 3.27

- DOS at the Fermi energy (states/eV per atom) = 0.871


Energy comparison, zero being the most stable, in meV per atom: w 13; x 0.


## w
A plane-wave DFT calculation with GGA-PBE was carried out for Nd4TlHg3 after structural relaxation.

Cell lengths 8.6719, 8.6719, 8.6719 Å; angles 143.45, 143.45, 52.65 degrees
With the nearest neighbours (Å) after each atom.
Positions (direct):
Nd 0.1267 0.6267 0.5000  6 Hg 3.33-3.36, 2 Tl 3.36
Nd 0.3733 0.8733 0.5000  6 Hg 3.33-3.36, 2 Tl 3.36
Nd 0.6267 0.1267 0.5000  6 Hg 3.33-3.36, 2 Tl 3.36
Nd 0.8733 0.3733 0.5000  6 Hg 3.33-3.36, 2 Tl 3.36
Tl 0.0000 0.0000 0.0000  8 Nd 3.36
Hg 0.2502 0.2502 0.0000  8 Nd 3.33
Hg 0.5000 0.5000 0.0000  8 Nd 3.36
Hg 0.7498 0.7498 0.0000  8 Nd 3.33

- DOS at the Fermi energy (states/eV per atom) = 0.990


## x
A plane-wave DFT calculation with GGA-PBE was carried out for Nd4TlHg3 after structural relaxation.

Cell lengths 3.8774, 4.9898, 12.1751 Å; angles 90.00, 90.00, 90.00 degrees
With the nearest neighbours (Å) after each atom.
Positions (direct):
Nd 0.0000 0.0000 0.0000  6 Hg 3.25-3.34, 1 Tl 3.35
Nd 0.0000 0.5000 0.2886  7 Hg 3.26-3.38
Nd 0.5000 0.0000 0.4905  5 Hg 3.25-3.26, 2 Tl 3.45
Nd 0.5000 0.5000 0.7918  4 Tl 3.26, 3 Hg 3.27-3.44
Tl 0.0000 0.0000 0.7245  2 Hg 3.21, 7 Nd 3.26-3.45
Hg 0.0000 0.5000 0.5580  2 Tl 3.21, 7 Nd 3.26-3.44
Hg 0.5000 0.0000 0.2237  2 Hg 3.19, 7 Nd 3.25-3.34
Hg 0.5000 0.5000 0.0608  2 Hg 3.19, 7 Nd 3.25-3.38

- DOS at the Fermi energy (states/eV per atom) = 1.125


Energy comparison, zero being the most stable, in meV per atom: w 0; x 42.